Computed, not measured: a relaxed structure of Pr6Ho2ErTm3 at the PBE-GGA level of DFT.

Cell: 6.2746 6.2746 11.8022 Å, 95.08 95.08 119.99°
Last column: nearest neighbours and their distance in Å.
Positions (direct):
Pr  0.0837  0.4169  0.7510  3 Tm 3.57, 2 Ho 3.59, 1 Er 3.59, 6 Pr 3.62-3.63
Pr  0.2494  0.2494  0.2493  3 Tm 3.57, 1 Er 3.58, 2 Ho 3.59, 6 Pr 3.62-3.63
Pr  0.4169  0.0837  0.7510  3 Tm 3.57, 2 Ho 3.59, 1 Er 3.59, 6 Pr 3.62-3.63
Pr  0.5831  0.9163  0.2490  3 Tm 3.57, 2 Ho 3.59, 1 Er 3.59, 6 Pr 3.62-3.63
Pr  0.7506  0.7506  0.7507  3 Tm 3.57, 1 Er 3.58, 2 Ho 3.59, 6 Pr 3.62-3.63
Pr  0.9163  0.5831  0.2490  3 Tm 3.57, 2 Ho 3.59, 1 Er 3.59, 6 Pr 3.62-3.63
Ho  0.3332  0.6668  0.5000  6 Pr 3.59, 3 Er 3.62, 3 Ho 3.62-3.63
Ho  0.6668  0.3332  0.5000  6 Pr 3.59, 3 Er 3.62, 3 Ho 3.62-3.63
Er  0.0000  0.0000  0.5000  6 Pr 3.58-3.59, 6 Ho 3.62
Tm  0.1667  0.8333  0.0000  6 Pr 3.57, 6 Tm 3.62
Tm  0.5000  0.5000  0.0000  6 Pr 3.57, 6 Tm 3.62
Tm  0.8333  0.1667  0.0000  6 Pr 3.57, 6 Tm 3.62

Output
Its total energy is -4.636 eV/atom. The crystal system is monoclinic. The value obtained for the total magnetization is 0.0 μB per cell.

=====

Computed, not measured: a relaxed structure of PrHo2Er5Tm at the PBE-GGA level of DFT.

Cell: 9.5777 9.5777 9.5777 Å, 124.04 124.04 83.13°
Last column: nearest neighbours and their distance in Å.
Positions (direct):
Pr  0.2500  0.2500  0.0000  10 Er 3.58-3.66
Pr  0.7500  0.7500  0.0000  10 Er 3.58-3.66
Ho  0.1111  0.6111  0.7223  1 Ho 2.83, 2 Er 3.00
Ho  0.3889  0.1111  0.5000  1 Ho 2.83, 2 Er 3.00
Ho  0.6111  0.8889  0.5000  1 Ho 2.83, 2 Er 3.00
Ho  0.8889  0.3889  0.2777  1 Ho 2.83, 2 Er 3.00
Er  0.0000  0.0000  0.0000  2 Pr 3.58, 4 Ho 3.63, 8 Er 3.73
Er  0.0740  0.1655  0.5000  1 Ho 3.00, 1 Tm 3.11
Er  0.1655  0.6655  0.0914  1 Ho 3.00, 1 Tm 3.11
Er  0.3345  0.4260  0.5000  1 Ho 3.00, 1 Tm 3.11
Er  0.4260  0.9260  0.0914  1 Ho 3.00, 1 Tm 3.11
Er  0.5000  0.5000  0.0000  2 Pr 3.58, 4 Ho 3.63, 8 Er 3.73
Er  0.5740  0.0740  0.9086  1 Ho 3.00, 1 Tm 3.11
Er  0.6655  0.5740  0.5000  1 Ho 3.00, 1 Tm 3.11
Er  0.8345  0.3345  0.9086  1 Ho 3.00, 1 Tm 3.11
Er  0.9260  0.8345  0.5000  1 Ho 3.00, 1 Tm 3.11
Tm  0.2500  0.7500  0.5000  4 Er 3.11
Tm  0.7500  0.2500  0.5000  4 Er 3.11

Output
Its total energy is -4.284 eV/atom. The crystal system is tetragonal. The value obtained for the total magnetization is 0.0 μB per cell.

=====

Computed, not measured: a relaxed structure of PrHo2Er6Tm at the PBE-GGA level of DFT.

Cell: 8.7299 8.7299 9.4173 Å, 93.30 93.30 117.64°
Last column: nearest neighbours and their distance in Å.
Positions (direct):
Pr  0.0267  0.9733  0.7500  4 Ho 3.36-3.44, 4 Er 3.55-3.68
Pr  0.9733  0.0267  0.2500  4 Ho 3.36-3.44, 4 Er 3.55-3.68
Ho  0.2000  0.3069  0.5479  6 Er 3.23-3.53, 2 Pr 3.36-3.44, 1 Tm 3.49
Ho  0.3069  0.2000  0.0479  6 Er 3.23-3.53, 2 Pr 3.36-3.44, 1 Tm 3.49
Ho  0.6931  0.8000  0.9521  6 Er 3.23-3.53, 2 Pr 3.36-3.44, 1 Tm 3.49
Ho  0.8000  0.6931  0.4521  6 Er 3.23-3.53, 2 Pr 3.36-3.44, 1 Tm 3.49
Er  0.0165  0.5644  0.6832  3 Er 3.19-3.52, 2 Ho 3.37-3.53, 1 Tm 3.44, 1 Pr 3.55
Er  0.1255  0.7512  0.0579  7 Er 3.38-3.68, 1 Ho 3.49, 1 Pr 3.68
Er  0.2488  0.8745  0.4421  7 Er 3.38-3.68, 1 Ho 3.49, 1 Pr 3.68
Er  0.2908  0.5102  0.8833  4 Er 3.19-3.45, 3 Ho 3.23-3.39, 2 Tm 3.39-3.48
Er  0.4356  0.9835  0.8168  3 Er 3.19-3.52, 2 Ho 3.37-3.53, 1 Tm 3.44, 1 Pr 3.55
Er  0.4898  0.7092  0.6167  4 Er 3.19-3.45, 3 Ho 3.23-3.39, 2 Tm 3.39-3.48
Er  0.5102  0.2908  0.3833  4 Er 3.19-3.45, 3 Ho 3.23-3.39, 2 Tm 3.39-3.48
Er  0.5644  0.0165  0.1832  3 Er 3.19-3.52, 2 Ho 3.37-3.53, 1 Tm 3.44, 1 Pr 3.55
Er  0.7092  0.4898  0.1167  4 Er 3.19-3.45, 3 Ho 3.23-3.39, 2 Tm 3.39-3.48
Er  0.7512  0.1255  0.5579  7 Er 3.38-3.68, 1 Ho 3.49, 1 Pr 3.68
Er  0.8745  0.2488  0.9421  7 Er 3.38-3.68, 1 Ho 3.49, 1 Pr 3.68
Er  0.9835  0.4356  0.3168  3 Er 3.19-3.52, 2 Ho 3.37-3.53, 1 Tm 3.44, 1 Pr 3.55
Tm  0.4104  0.5896  0.2500  6 Er 3.39-3.48, 2 Ho 3.49
Tm  0.5896  0.4104  0.7500  6 Er 3.39-3.48, 2 Ho 3.49

Output
Its total energy is -4.457 eV/atom. The crystal system is monoclinic. The value obtained for the total magnetization is 0.0 μB per cell.